(1)
# Np2Si3PPt4

An optimized crystal structure of Np2Si3PPt4 (PBE-GGA, Alexandria).

Cell: 4.2781 4.2781 9.5878 Å, 90.00 90.00 90.00°
With the nearest neighbours (Å) after each atom.
Fractional positions:
Np  0.0000  0.5000  0.2425  2 P 3.16, 6 Si 3.16-3.25, 9 Pt 3.26-3.44
Np  0.5000  0.0000  0.7575  2 P 3.16, 6 Si 3.16-3.25, 9 Pt 3.26-3.44
Si  0.0000  0.0000  0.0000  4 Pt 2.41
Si  0.0000  0.5000  0.6332  5 Pt 2.40-2.49
Si  0.5000  0.0000  0.3668  5 Pt 2.40-2.49
P  0.5000  0.5000  0.0000  4 Pt 2.41
Pt  0.0000  0.0000  0.5000  4 Si 2.49
Pt  0.0000  0.5000  0.8833  3 Si 2.40-2.41, 2 P 2.41
Pt  0.5000  0.0000  0.1167  3 Si 2.40-2.41, 2 P 2.41
Pt  0.5000  0.5000  0.5000  4 Si 2.49

* mass density: 12.960 g/cm³
* space-group type: P-4m2 (115)
* E_form (uncorrected): -0.71 eV per atom
* DOS at the Fermi energy: 2.360 states/eV per atom

(2)
# Pm2ErCu2Ge2

An optimized crystal structure of Pm2ErCu2Ge2 (PBE-GGA, Alexandria).

Cell: 10.5337 10.5337 10.5337 Å, 23.20 23.20 23.20°
With the nearest neighbours (Å) after each atom.
Fractional positions:
Pm  0.1203  0.1203  0.1203  3 Ge 3.07, 3 Cu 3.16
Pm  0.8797  0.8797  0.8797  3 Ge 3.07, 3 Cu 3.16
Er  0.0000  0.0000  0.0000  6 Cu 2.97, 6 Ge 3.06
Cu  0.3884  0.3884  0.3884  3 Ge 2.45
Cu  0.6116  0.6116  0.6116  3 Ge 2.45
Ge  0.2735  0.2735  0.2735  3 Cu 2.45
Ge  0.7265  0.7265  0.7265  3 Cu 2.45

* mass density: 7.611 g/cm³
* space-group type: R-3m (166)
* E_form: -0.506 eV per atom
* DOS at the Fermi energy: 0.691 states/eV per atom

(3)
# RbSn2Hg2

An optimized crystal structure of RbSn2Hg2 (PBE-GGA, Alexandria).

Cell: 6.9581 6.9581 6.9581 Å, 136.00 136.00 63.99°
With the nearest neighbours (Å) after each atom.
Fractional positions:
Rb  0.0000  0.0000  0.0000  8 Hg 3.94, 8 Sn 3.96
Sn  0.3765  0.3765  0.0000  1 Sn 2.91, 4 Hg 3.00
Sn  0.6235  0.6235  0.0000  1 Sn 2.91, 4 Hg 3.00
Hg  0.2500  0.7500  0.5000  4 Sn 3.00
Hg  0.7500  0.2500  0.5000  4 Sn 3.00

* mass density: 7.496 g/cm³
* space-group type: I4/mmm (139)
* E_form: -0.147 eV per atom
* DOS at the Fermi energy: 0.383 states/eV per atom
* polymorph energy (0 for the lowest one): 0 meV/atom

(4)
# LaTaCu2Ge

An optimized crystal structure of LaTaCu2Ge (PBE-GGA, Alexandria).

Cell: 4.5736 4.5736 5.0333 Å, 90.00 90.00 90.00°
With the nearest neighbours (Å) after each atom.
Fractional positions:
La  0.0000  0.0000  0.0000  4 Ta 3.23, 8 Cu 3.40
Ta  0.5000  0.5000  0.0000  2 Ge 2.52
Cu  0.0000  0.5000  0.5000  2 Ge 2.29
Cu  0.5000  0.0000  0.5000  2 Ge 2.29
Ge  0.5000  0.5000  0.5000  4 Cu 2.29, 2 Ta 2.52

* mass density: 8.195 g/cm³
* space-group type: P4/mmm (123)
* E_form: 0.351 eV per atom
* DOS at the Fermi energy: 0.886 states/eV per atom

(5)
# Np3Co6Ge2

An optimized crystal structure of Np3Co6Ge2 (PBE-GGA, Alexandria).

Cell: 7.4610 7.4610 7.4610 Å, 109.47 109.47 109.47°
With the nearest neighbours (Å) after each atom.
Fractional positions:
Np  0.0000  0.2657  0.2657  4 Co 2.70
Np  0.0000  0.7343  0.7343  4 Co 2.70
Np  0.2657  0.0000  0.2657  4 Co 2.70
Np  0.2657  0.2657  0.0000  4 Co 2.70
Np  0.7343  0.0000  0.7343  4 Co 2.70
Np  0.7343  0.7343  0.0000  4 Co 2.70
Co  0.0000  0.3533  0.6467  2 Ge 2.49, 6 Co 2.52-2.53, 2 Np 2.70
Co  0.0000  0.6467  0.3533  2 Ge 2.49, 6 Co 2.52-2.53, 2 Np 2.70
Co  0.2934  0.6467  0.6467  2 Ge 2.49, 6 Co 2.52-2.53, 2 Np 2.70
Co  0.3533  0.0000  0.6467  2 Ge 2.49, 6 Co 2.52-2.53, 2 Np 2.70
Co  0.3533  0.3533  0.7066  2 Ge 2.49, 6 Co 2.52-2.53, 2 Np 2.70
Co  0.3533  0.6467  0.0000  2 Ge 2.49, 6 Co 2.52-2.53, 2 Np 2.70
Co  0.3533  0.7066  0.3533  2 Ge 2.49, 6 Co 2.52-2.53, 2 Np 2.70
Co  0.6467  0.0000  0.3533  2 Ge 2.49, 6 Co 2.52-2.53, 2 Np 2.70
Co  0.6467  0.2934  0.6467  2 Ge 2.49, 6 Co 2.52-2.53, 2 Np 2.70
Co  0.6467  0.3533  0.0000  2 Ge 2.49, 6 Co 2.52-2.53, 2 Np 2.70
Co  0.6467  0.6467  0.2934  2 Ge 2.49, 6 Co 2.52-2.53, 2 Np 2.70
Co  0.7066  0.3533  0.3533  2 Ge 2.49, 6 Co 2.52-2.53, 2 Np 2.70
Ge  0.0000  0.0000  0.5000  6 Co 2.49
Ge  0.0000  0.5000  0.0000  6 Co 2.49
Ge  0.5000  0.0000  0.0000  6 Co 2.49
Ge  0.5000  0.5000  0.5000  6 Co 2.49

* mass density: 12.567 g/cm³
* space-group type: Im-3m (229)
* E_form: -0.241 eV per atom
* DOS at the Fermi energy: 1.351 states/eV per atom

(6)
# ScCr2Au

An optimized crystal structure of ScCr2Au (PBE-GGA, Alexandria).

Cell: 3.0881 3.0881 6.7574 Å, 90.00 90.00 90.00°
With the nearest neighbours (Å) after each atom.
Fractional positions:
Sc  0.0000  0.0000  0.0000  5 Cr 2.85-2.97, 4 Au 2.93, 4 Sc 3.09
Cr  0.0000  0.0000  0.5598  4 Cr 2.46
Cr  0.5000  0.5000  0.7289  4 Cr 2.46
Au  0.5000  0.5000  0.2892  5 Cr 2.85-2.97, 4 Sc 2.93, 4 Au 3.09

* mass density: 8.914 g/cm³
* space-group type: P4mm (99)
* E_form: -0.044 eV per atom
* DOS at the Fermi energy: 0.813 states/eV per atom
* polymorph energy (0 for the lowest one): 0 meV/atom

(7)
# BaPm3Sn3

An optimized crystal structure of BaPm3Sn3 (PBE-GGA, Alexandria).

Cell: 8.5072 8.5072 8.5072 Å, 70.59 70.59 70.59°
With the nearest neighbours (Å) after each atom.
Fractional positions:
Ba  0.1668  0.1668  0.1668  6 Sn 3.52-3.57, 6 Pm 3.83-3.88
Ba  0.8332  0.8332  0.8332  6 Sn 3.52-3.57, 6 Pm 3.83-3.88
Pm  0.1141  0.4063  0.7120  5 Sn 3.13-3.48
Pm  0.2880  0.8859  0.5937  5 Sn 3.13-3.48
Pm  0.4063  0.7120  0.1141  5 Sn 3.13-3.48
Pm  0.5937  0.2880  0.8859  5 Sn 3.13-3.48
Pm  0.7120  0.1141  0.4063  5 Sn 3.13-3.48
Pm  0.8859  0.5937  0.2880  5 Sn 3.13-3.48
Sn  0.0702  0.7663  0.4235  5 Pm 3.13-3.48
Sn  0.2337  0.5765  0.9298  5 Pm 3.13-3.48
Sn  0.4235  0.0702  0.7663  5 Pm 3.13-3.48
Sn  0.5765  0.9298  0.2337  5 Pm 3.13-3.48
Sn  0.7663  0.4235  0.0702  5 Pm 3.13-3.48
Sn  0.9298  0.2337  0.5765  5 Pm 3.13-3.48

* mass density: 5.813 g/cm³
* space-group type: R-3 (148)
* E_form: -0.476 eV per atom
* DOS at the Fermi energy: 0.745 states/eV per atom

(8)
# Li2ThAgS4

An optimized crystal structure of Li2ThAgS4 (PBE-GGA, Alexandria).

Cell: 5.5862 5.5862 6.9549 Å, 118.89 118.89 77.91°
With the nearest neighbours (Å) after each atom.
Fractional positions:
Li  0.2445  0.2445  0.2602  4 S 2.42-2.63
Li  0.7555  0.7555  0.7398  4 S 2.42-2.63
Th  0.5424  0.4576  0.0000  6 S 2.77-2.85
Ag  0.9420  0.0580  0.5000  4 S 2.59
S  0.0197  0.4214  0.9374  2 Li 2.55-2.63, 1 Ag 2.59, 1 Th 2.77
S  0.4289  0.0333  0.5346  2 Li 2.42-2.49, 1 Ag 2.59
S  0.5786  0.9803  0.0626  2 Li 2.55-2.63, 1 Ag 2.59, 1 Th 2.77
S  0.9667  0.5711  0.4654  2 Li 2.42-2.49, 1 Ag 2.59

* mass density: 4.814 g/cm³
* space-group type: C2 (5)
* E_form (uncorrected): -1.09 eV per atom
* DOS at the Fermi energy: 0.363 states/eV per atom

(9)
# NbP2PdCl

An optimized crystal structure of NbP2PdCl (PBE-GGA, Alexandria).

Cell: 4.6295 4.6295 4.6481 Å, 90.00 90.00 90.00°
With the nearest neighbours (Å) after each atom.
Fractional positions:
Nb  0.0000  0.0000  0.0000  4 Cl 3.27, 8 P 3.28
P  0.0000  0.5000  0.5000  2 Pd 2.31
P  0.5000  0.0000  0.5000  2 Pd 2.31
Pd  0.5000  0.5000  0.5000  4 P 2.31, 2 Cl 2.32
Cl  0.5000  0.5000  0.0000  2 Pd 2.32

* mass density: 4.946 g/cm³
* space-group type: P4/mmm (123)
* E_form (uncorrected): 0.82 eV per atom
* DOS at the Fermi energy: 1.208 states/eV per atom
* polymorph energy (0 for the lowest one): 468 meV/atom

(10)
# KCaZr2Se

An optimized crystal structure of KCaZr2Se (PBE-GGA, Alexandria).

Cell: 5.5009 5.5009 5.5377 Å, 90.00 90.00 90.00°
With the nearest neighbours (Å) after each atom.
Fractional positions:
K  0.0000  0.0000  0.0000  4 Se 3.89, 8 Zr 3.90
Ca  0.5000  0.5000  0.5000  4 Zr 2.75, 2 Se 2.77
Zr  0.0000  0.5000  0.5000  2 Ca 2.75
Zr  0.5000  0.0000  0.5000  2 Ca 2.75
Se  0.5000  0.5000  0.0000  2 Ca 2.77

* mass density: 3.375 g/cm³
* space-group type: P4/mmm (123)
* E_form (uncorrected): 1.07 eV per atom
* DOS at the Fermi energy: 1.100 states/eV per atom

(11)
# Fe2AuI6Br2

An optimized crystal structure of Fe2AuI6Br2 (PBE-GGA, Alexandria).

Cell: 7.2318 7.2318 10.0438 Å, 90.00 90.00 120.00°
With the nearest neighbours (Å) after each atom.
Fractional positions:
Fe  0.3333  0.6667  0.2448  1 Br 2.29
Fe  0.6667  0.3333  0.7552  1 Br 2.29
Au  0.0000  0.0000  0.5000  6 I 2.94
I  0.0002  0.3273  0.6741  1 Fe 2.57
I  0.9998  0.6727  0.3259  1 Fe 2.57
I  0.3271  0.9998  0.6741  1 Fe 2.57
I  0.3273  0.3271  0.3259  1 Fe 2.57
I  0.6729  0.0002  0.3259  1 Fe 2.57
I  0.6727  0.6729  0.6741  1 Fe 2.57
Br  0.3333  0.6667  0.0168  1 Fe 2.29
Br  0.6667  0.3333  0.9832  1 Fe 2.29

* mass density: 4.490 g/cm³
* space-group type: P-3 (147)
* E_form (uncorrected): -0.16 eV per atom
* DOS at the Fermi energy: 0.445 states/eV per atom

(12)
# GdErSc

An optimized crystal structure of GdErSc (PBE-GGA, Alexandria).

Cell: 7.6023 7.6023 7.6023 Å, 153.53 153.53 37.78°
With the nearest neighbours (Å) after each atom.
Fractional positions:
Gd  0.0000  0.0000  0.0000  4 Sc 3.40, 4 Gd 3.48, 4 Er 3.55
Er  0.6781  0.6781  0.0000  4 Sc 3.35, 4 Er 3.48, 4 Gd 3.55
Sc  0.3365  0.3365  0.0000  4 Er 3.35, 4 Gd 3.40, 4 Sc 3.48

* mass density: 7.040 g/cm³
* space-group type: I4mm (107)
* E_form: 0.048 eV per atom
* DOS at the Fermi energy: 1.608 states/eV per atom
* polymorph energy (0 for the lowest one): 0 meV/atom

Number 1: total energy -7.88 eV/atom. Number 2: total energy -5.00 eV/atom. Number 3: total energy -2.06 eV/atom. Number 4: total energy -5.57 eV/atom. Number 5: total energy -8.49 eV/atom. Number 6: total energy -7.26 eV/atom. Number 7: total energy -4.50 eV/atom. Number 8: total energy -4.91 eV/atom. Number 9: total energy -4.77 eV/atom. Number 10: total energy -3.67 eV/atom. Number 11: total energy -3.14 eV/atom. Number 12: total energy -8.28 eV/atom.